VASP calculation (PBE-GGA) on an optimized crystal structure of HoPuSnPd.

Properties
The total energy comes out at -7.516 eV per atom. Its energy of formation is -0.490 eV/atom. The total magnetization is 5.428 μB/f.u. As for the density: 10.723 Mg/m³.

CIF file:
```
data_HoPuSnPd
_cell_length_a 7.323
_cell_length_b 7.323
_cell_length_c 7.323
_cell_angle_alpha 90.00
_cell_angle_beta 90.00
_cell_angle_gamma 90.00
_symmetry_space_group_name_H-M 'F -4 3 m'
_symmetry_Int_Tables_number 216
_symmetry_space_group_name_Hall 'F -4 2 3'
loop_
_atom_site_label
_atom_site_type_symbol
_atom_site_fract_x
_atom_site_fract_y
_atom_site_fract_z
_atom_site_occupancy
Ho1 Ho 0.000 0.000 0.000 1
Pu1 Pu 0.000 0.000 0.500 1
Sn1 Sn 0.250 0.250 0.250 1
Pd1 Pd 0.250 0.250 0.750 1
```